# 1
Entry from the Alexandria database: crystalline CdIn6Pb2 at its relaxed geometry (PBE-GGA).

Geometry as POSCAR:
```
CdIn6Pb2
1.0
-3.100 7.827 0.562
-7.171 0.939 5.002
1.365 0.745 8.293
Cd In Pb
2 12 4
Cartesian
-7.849 7.533 5.404
-1.058 1.978 8.454
-4.242 4.232 8.472
-7.110 3.939 9.861
-4.665 5.279 5.385
-1.797 5.572 3.997
-2.941 7.848 6.439
-3.683 3.259 2.663
-5.966 1.663 7.419
-5.224 6.252 11.194
-6.428 2.403 4.197
-6.977 9.025 10.581
-2.479 7.108 9.660
-1.930 0.486 3.276
-7.671 4.448 6.579
-5.845 7.156 8.006
-1.236 5.063 7.278
-3.062 2.355 5.851
```

Energy of formation from the pure elements ... 0.034 eV/atom
Uncorrected energy ... -2.72 eV/atom
Calculated volume ... 27.922 Å³/atom
Energy relative to the lowest polymorph listed for this composition ... 0.0 kJ per mole of atoms
N(E_F) ... 7.9 states/eV per cell



# 2
Entry from the Alexandria database: crystalline Pr3In2Ag at its relaxed geometry (PBE-GGA).

Geometry as POSCAR:
```
Pr3In2Ag
1.0
3.714 0.000 0.000
0.000 3.714 0.000
0.000 0.000 12.527
Pr In Ag
3 2 1
Cartesian
0.000 0.000 0.000
0.000 0.000 8.227
0.000 0.000 4.301
1.857 1.857 10.337
1.857 1.857 2.190
1.857 1.857 6.264
```

Energy of formation from the pure elements ... -0.412 eV/atom
Uncorrected energy ... -4.19 eV/atom
Calculated volume ... 28.804 Å³/atom
N(E_F) ... 5.5 states/eV per cell



# 3
Entry from the Alexandria database: crystalline VZnNiRu at its relaxed geometry (PBE-GGA).

Geometry as POSCAR:
```
VZnNiRu
1.0
-0.581 -2.357 3.410
2.269 -3.474 0.555
2.936 -0.128 2.981
Ru Zn V Ni
1 1 1 1
Cartesian
1.156 -1.490 1.737
2.312 -2.980 3.473
0.000 0.000 0.000
3.468 -4.470 5.210
```

Energy of formation from the pure elements ... -0.176 eV/atom
Uncorrected energy ... -6.54 eV/atom
Calculated volume ... 12.970 Å³/atom
Energy relative to the lowest polymorph listed for this composition ... 4.4 kJ per mole of atoms
N(E_F) ... 3.8 states/eV per cell



# 4
Entry from the Alexandria database: crystalline La2SnPW at its relaxed geometry (PBE-GGA).

Geometry as POSCAR:
```
La2SnPW
1.0
-1.646 5.066 -2.775
-4.523 -1.773 -0.554
-1.580 2.380 5.283
P Sn W La
1 1 1 2
Cartesian
-2.262 -0.887 -0.277
0.000 0.000 0.000
-3.875 2.836 0.977
-0.790 1.190 2.642
-0.823 2.533 -1.387
```

Energy of formation from the pure elements ... 1.267 eV/atom
Uncorrected energy ... -5.18 eV/atom
Calculated volume ... 35.282 Å³/atom
N(E_F) ... 5.6 states/eV per cell



# 5
Entry from the Alexandria database: crystalline MgCdW2 at its relaxed geometry (PBE-GGA).

Geometry as POSCAR:
```
MgCdW2
1.0
-3.195 1.138 -4.185
-4.271 -3.250 -0.454
2.447 3.511 3.271
Cd Mg W
1 1 2
Cartesian
-3.751 -1.061 -2.331
-2.749 -0.389 0.267
-7.302 -2.066 -4.537
-2.416 1.747 -1.726
```

Energy of formation from the pure elements ... 0.551 eV/atom
Uncorrected energy ... -6.55 eV/atom
Calculated volume ... 18.244 Å³/atom
Energy relative to the lowest polymorph listed for this composition ... 25.4 kJ per mole of atoms
N(E_F) ... 2.2 states/eV per cell



# 6
Entry from the Alexandria database: crystalline Na2InCl5 at its relaxed geometry (PBE-GGA).

Geometry as POSCAR:
```
Na2InCl5
1.0
-5.120 -1.655 0.348
3.633 -3.568 -5.283
3.484 -8.996 8.473
Na In Cl
4 2 10
Cartesian
-0.324 -7.729 0.247
-1.562 -4.534 -2.763
2.322 -6.490 3.292
3.559 -9.686 6.302
0.737 -10.374 3.275
1.261 -3.845 0.263
1.483 -12.724 3.082
0.549 -10.312 0.810
2.038 -6.261 0.217
1.022 -3.636 -2.255
-1.232 -4.949 0.116
3.229 -9.271 3.422
-0.041 -7.959 3.321
0.976 -10.584 5.793
0.514 -1.496 0.457
1.449 -3.908 2.728
```

Uncorrected energy ... -3.26 eV/atom
Calculated volume ... 29.529 Å³/atom
Raw formation energy ... -1434 meV per atom
N(E_F) ... 0.0 states/eV per cell



# 7
Entry from the Alexandria database: crystalline Li4RhBr at its relaxed geometry (PBE-GGA).

Geometry as POSCAR:
```
Li4RhBr
1.0
0.000 3.598 3.598
3.598 0.000 3.598
3.598 3.598 0.000
Li Rh Br
4 1 1
Cartesian
2.720 4.476 4.476
4.476 4.476 2.720
4.476 2.720 4.476
2.720 2.720 2.720
5.397 5.397 5.397
0.000 0.000 0.000
```

Uncorrected energy ... -2.74 eV/atom
Calculated volume ... 15.524 Å³/atom
Raw formation energy ... 39 meV per atom
N(E_F) ... 2.6 states/eV per cell



# 8
Entry from the Alexandria database: crystalline VNiPt2Pb at its relaxed geometry (PBE-GGA).

Geometry as POSCAR:
```
VNiPt2Pb
1.0
-1.784 3.326 -2.677
-3.921 0.533 3.276
2.398 3.181 2.354
Pb Ni Pt V
1 1 2 1
Cartesian
-1.961 0.267 1.638
-1.653 3.520 1.476
1.199 1.590 1.177
-0.892 1.663 -1.338
0.000 0.000 0.000
```

Energy of formation from the pure elements ... 1.007 eV/atom
Uncorrected energy ... -5.13 eV/atom
Calculated volume ... 21.997 Å³/atom
N(E_F) ... 5.9 states/eV per cell



# 9
Entry from the Alexandria database: crystalline HgBSe2N at its relaxed geometry (PBE-GGA).

Geometry as POSCAR:
```
HgBSe2N
1.0
5.418 0.000 0.000
0.000 5.418 0.000
0.000 0.000 4.141
B Hg Se N
1 1 2 1
Cartesian
2.709 2.709 2.070
0.000 0.000 0.000
0.000 2.709 0.000
2.709 0.000 0.000
0.000 0.000 2.070
```

Uncorrected energy ... -2.36 eV/atom
Calculated volume ... 24.315 Å³/atom
Raw formation energy ... 2093 meV per atom
Energy relative to the lowest polymorph listed for this composition ... 194.9 kJ per mole of atoms
N(E_F) ... 4.1 states/eV per cell



# 10
Entry from the Alexandria database: crystalline Ac2BrNCl at its relaxed geometry (PBE-GGA).

Geometry as POSCAR:
```
Ac2BrNCl
1.0
-3.605 -2.184 0.238
-0.021 -4.834 -7.230
2.723 -8.172 3.681
Ac Br N Cl
4 2 2 2
Cartesian
-0.714 -7.527 -4.993
-0.190 -7.663 1.682
-2.965 -3.378 -1.027
2.062 -11.812 -2.284
-1.330 -10.411 -3.359
0.427 -4.779 0.047
2.101 -7.273 2.518
-3.005 -7.917 -5.829
0.986 -9.786 0.014
-1.889 -5.405 -3.325
```

Uncorrected energy ... -5.76 eV/atom
Calculated volume ... 32.313 Å³/atom
Raw formation energy ... -1746 meV per atom
N(E_F) ... 1.8 states/eV per cell



# 11
Entry from the Alexandria database: crystalline Ba2TiAlGa at its relaxed geometry (PBE-GGA).

Geometry as POSCAR:
```
Ba2TiAlGa
1.0
6.111 0.000 0.000
0.000 6.111 0.000
0.000 0.000 5.142
Al Ba Ga Ti
1 2 1 1
Cartesian
0.000 0.000 2.571
0.000 3.056 0.000
3.056 0.000 0.000
3.056 3.056 2.571
0.000 0.000 0.000
```

Energy of formation from the pure elements ... 0.571 eV/atom
Uncorrected energy ... -3.13 eV/atom
Calculated volume ... 38.406 Å³/atom
N(E_F) ... 4.9 states/eV per cell



# 12
Entry from the Alexandria database: crystalline KErAg2Br6 at its relaxed geometry (PBE-GGA).

Geometry as POSCAR:
```
KErAg2Br6
1.0
-4.137 3.853 4.783
-7.102 1.407 -1.535
-5.558 -4.017 4.172
K Er Ag Br
1 1 2 6
Cartesian
-12.263 1.991 4.997
-3.778 1.650 1.139
-8.311 0.906 3.559
-5.557 -4.007 4.162
-5.519 1.647 3.348
-8.976 1.358 0.782
-9.258 3.455 4.543
-10.894 -0.642 3.763
-8.316 -0.019 6.428
-7.398 -1.961 3.342
```

Uncorrected energy ... -3.35 eV/atom
Calculated volume ... 32.216 Å³/atom
Raw formation energy ... -1213 meV per atom
N(E_F) ... 0.0 states/eV per cell



Look up the calculated volume of the fourth one.
35.282 Å³/atom



What did the first record say?
Entry from the Alexandria database: crystalline CdIn6Pb2 at its relaxed geometry (PBE-GGA).

Geometry as POSCAR:
```
CdIn6Pb2
1.0
-3.100 7.827 0.562
-7.171 0.939 5.002
1.365 0.745 8.293
Cd In Pb
2 12 4
Cartesian
-7.849 7.533 5.404
-1.058 1.978 8.454
-4.242 4.232 8.472
-7.110 3.939 9.861
-4.665 5.279 5.385
-1.797 5.572 3.997
-2.941 7.848 6.439
-3.683 3.259 2.663
-5.966 1.663 7.419
-5.224 6.252 11.194
-6.428 2.403 4.197
-6.977 9.025 10.581
-2.479 7.108 9.660
-1.930 0.486 3.276
-7.671 4.448 6.579
-5.845 7.156 8.006
-1.236 5.063 7.278
-3.062 2.355 5.851
```

Energy of formation from the pure elements ... 0.034 eV/atom
Uncorrected energy ... -2.72 eV/atom
Calculated volume ... 27.922 Å³/atom
Energy relative to the lowest polymorph listed for this composition ... 0.0 kJ per mole of atoms
N(E_F) ... 7.9 states/eV per cell



Copy entry 6 word for word.
Entry from the Alexandria database: crystalline Na2InCl5 at its relaxed geometry (PBE-GGA).

Geometry as POSCAR:
```
Na2InCl5
1.0
-5.120 -1.655 0.348
3.633 -3.568 -5.283
3.484 -8.996 8.473
Na In Cl
4 2 10
Cartesian
-0.324 -7.729 0.247
-1.562 -4.534 -2.763
2.322 -6.490 3.292
3.559 -9.686 6.302
0.737 -10.374 3.275
1.261 -3.845 0.263
1.483 -12.724 3.082
0.549 -10.312 0.810
2.038 -6.261 0.217
1.022 -3.636 -2.255
-1.232 -4.949 0.116
3.229 -9.271 3.422
-0.041 -7.959 3.321
0.976 -10.584 5.793
0.514 -1.496 0.457
1.449 -3.908 2.728
```

Uncorrected energy ... -3.26 eV/atom
Calculated volume ... 29.529 Å³/atom
Raw formation energy ... -1434 meV per atom
N(E_F) ... 0.0 states/eV per cell



What is the formula in the fifth record?
MgCdW2